TiCoIrC2 GGA-PBE relaxed; DOS(E_F) = 4.71 states/eV/f.u.; calculated total energy = -7.24 eV per atom
1.0
-1.4274 -3.0042 -1.3425
-0.0784 -2.0497 4.6701
-3.2900 1.3276 0.5274
Ti C Ir Co
1 2 1 1
direct
0.5000 0.5000 0.5000
0.0000 0.0000 0.5000
0.5000 0.0000 0.0000
0.0000 0.5000 0.0000
0.0000 0.0000 0.0000